(1)
Entry from the Alexandria database: a relaxed structure of AcTc2RuO8 (PBE-GGA).

Geometry as CIF:
```
data_AcTc2RuO8
_chemical_formula_sum 'Ac1 Tc2 Ru1 O8'
_cell_length_a 4.984
_cell_length_b 4.983
_cell_length_c 6.200
_cell_angle_alpha 90.01
_cell_angle_beta 90.01
_cell_angle_gamma 87.74
_space_group_name_H-M_alt 'P 1'
_space_group_IT_number 1
_space_group_name_Hall 'P 1'
loop_
_atom_site_label
_atom_site_fract_x
_atom_site_fract_y
_atom_site_fract_z
O1 0.775 0.226 0.796
O2 0.710 0.711 0.000
O3 0.775 0.226 0.204
O4 0.225 0.774 0.796
O5 0.290 0.289 0.000
O6 0.225 0.774 0.204
O7 0.340 0.339 0.500
O8 0.660 0.661 0.500
Tc1 0.500 0.500 0.223
Tc2 0.500 0.500 0.777
Ru1 0.000 0.000 0.000
Ac1 0.000 0.000 0.500
```

- total DFT energy (no corrections) (eV per atom) = -7.77
- space-group type = Cmmm, No. 65
- magnetic moment (μB/f.u.) = 0.00

=====

(2)
Entry from the Alexandria database: a relaxed structure of Pr3Er12Th (PBE-GGA).

Geometry as CIF:
```
data_Pr3Er12Th
_chemical_formula_sum 'Pr3 Er12 Th1'
_cell_length_a 5.021
_cell_length_b 5.021
_cell_length_c 20.103
_cell_angle_alpha 90.00
_cell_angle_beta 90.00
_cell_angle_gamma 90.00
_space_group_name_H-M_alt 'P 1'
_space_group_IT_number 1
_space_group_name_Hall 'P 1'
loop_
_atom_site_label
_atom_site_fract_x
_atom_site_fract_y
_atom_site_fract_z
Er1 0.500 0.500 0.000
Er2 0.500 0.000 0.374
Er3 0.500 0.500 0.751
Er4 0.000 0.500 0.122
Er5 0.500 0.000 0.878
Er6 0.000 0.500 0.626
Er7 0.500 0.000 0.626
Er8 0.000 0.500 0.878
Er9 0.000 0.500 0.374
Er10 0.500 0.000 0.122
Er11 0.500 0.500 0.500
Er12 0.500 0.500 0.249
Pr1 0.000 0.000 0.500
Pr2 0.000 0.000 0.751
Pr3 0.000 0.000 0.249
Th1 0.000 0.000 0.000
```

- formation energy from the elements (meV per atom) = 28
- space-group type = P4/mmm, No. 123
- magnetic moment (μB/f.u.) = 0.00

=====

(3)
Entry from the Alexandria database: a relaxed structure of Zr2MoRh2 (PBE-GGA).

Geometry as CIF:
```
data_Zr2MoRh2
_chemical_formula_sum 'Zr4 Mo2 Rh4'
_cell_length_a 6.699
_cell_length_b 6.699
_cell_length_c 4.115
_cell_angle_alpha 90.00
_cell_angle_beta 90.00
_cell_angle_gamma 90.00
_space_group_name_H-M_alt 'P 1'
_space_group_IT_number 1
_space_group_name_Hall 'P 1'
loop_
_atom_site_label
_atom_site_fract_x
_atom_site_fract_y
_atom_site_fract_z
Zr1 0.675 0.825 0.500
Zr2 0.175 0.675 0.500
Zr3 0.325 0.175 0.500
Zr4 0.825 0.325 0.500
Mo1 0.500 0.500 0.000
Mo2 0.000 0.000 0.000
Rh1 0.637 0.137 0.000
Rh2 0.363 0.863 0.000
Rh3 0.137 0.363 0.000
Rh4 0.863 0.637 0.000
```

- formation energy from the elements (meV per atom) = -322
- space-group type = P4/mbm, No. 127
- magnetic moment (μB/f.u.) = 0.00

=====

(4)
Entry from the Alexandria database: a relaxed structure of ZrRe2Ru (PBE-GGA).

Geometry as CIF:
```
data_ZrRe2Ru
_chemical_formula_sum 'Zr1 Re2 Ru1'
_cell_length_a 5.309
_cell_length_b 5.309
_cell_length_c 5.309
_cell_angle_alpha 145.69
_cell_angle_beta 128.25
_cell_angle_gamma 63.57
_space_group_name_H-M_alt 'P 1'
_space_group_IT_number 1
_space_group_name_Hall 'P 1'
loop_
_atom_site_label
_atom_site_fract_x
_atom_site_fract_y
_atom_site_fract_z
Re1 0.757 0.257 0.500
Re2 0.983 0.983 0.000
Ru1 0.513 0.513 0.000
Zr1 0.247 0.747 0.500
```

- formation energy from the elements (meV per atom) = 53
- distance to the lowest polymorph of the same formula (kcal/mol of atoms) = 1.88
- space-group type = Imm2, No. 44
- magnetic moment (μB/f.u.) = 0.00

=====

(5)
Entry from the Alexandria database: a relaxed structure of Ca2SmSn (PBE-GGA).

Geometry as CIF:
```
data_Ca2SmSn
_chemical_formula_sum 'Ca2 Sm1 Sn1'
_cell_length_a 5.178
_cell_length_b 4.889
_cell_length_c 4.889
_cell_angle_alpha 90.00
_cell_angle_beta 90.00
_cell_angle_gamma 90.00
_space_group_name_H-M_alt 'P 1'
_space_group_IT_number 1
_space_group_name_Hall 'P 1'
loop_
_atom_site_label
_atom_site_fract_x
_atom_site_fract_y
_atom_site_fract_z
Ca1 0.000 0.500 0.000
Ca2 0.000 0.000 0.500
Sm1 0.500 0.000 0.000
Sn1 0.500 0.500 0.500
```

- formation energy from the elements (meV per atom) = -392
- distance to the lowest polymorph of the same formula (kcal/mol of atoms) = 0.00
- space-group type = P4/mmm, No. 123
- magnetic moment (μB/f.u.) = 0.00

=====

(6)
Entry from the Alexandria database: a relaxed structure of AcTb8Pm6 (PBE-GGA).

Geometry as CIF:
```
data_AcTb8Pm6
_chemical_formula_sum 'Ac1 Tb8 Pm6'
_cell_length_a 9.362
_cell_length_b 9.362
_cell_length_c 8.666
_cell_angle_alpha 57.30
_cell_angle_beta 57.30
_cell_angle_gamma 60.00
_space_group_name_H-M_alt 'P 1'
_space_group_IT_number 1
_space_group_name_Hall 'P 1'
loop_
_atom_site_label
_atom_site_fract_x
_atom_site_fract_y
_atom_site_fract_z
Tb1 0.353 0.225 0.505
Tb2 0.225 0.917 0.505
Tb3 0.429 0.429 0.712
Tb4 0.917 0.353 0.505
Tb5 0.571 0.571 0.288
Tb6 0.647 0.775 0.495
Tb7 0.083 0.647 0.495
Tb8 0.775 0.083 0.495
Pm1 0.549 0.106 0.076
Pm2 0.269 0.549 0.076
Pm3 0.451 0.894 0.924
Pm4 0.106 0.269 0.076
Pm5 0.731 0.451 0.924
Pm6 0.894 0.731 0.924
Ac1 0.000 0.000 0.000
```

- formation energy from the elements (meV per atom) = 163
- distance to the lowest polymorph of the same formula (kcal/mol of atoms) = 0.00
- space-group type = R-3, No. 148
- magnetic moment (μB/f.u.) = 0.00

=====

(7)
Entry from the Alexandria database: a relaxed structure of PuPaGaAu (PBE-GGA).

Geometry as CIF:
```
data_PuPaGaAu
_chemical_formula_sum 'Pu1 Pa1 Ga1 Au1'
_cell_length_a 3.211
_cell_length_b 5.393
_cell_length_c 5.419
_cell_angle_alpha 112.05
_cell_angle_beta 90.00
_cell_angle_gamma 90.00
_space_group_name_H-M_alt 'P 1'
_space_group_IT_number 1
_space_group_name_Hall 'P 1'
loop_
_atom_site_label
_atom_site_fract_x
_atom_site_fract_y
_atom_site_fract_z
Pu1 0.500 0.526 0.794
Pa1 0.500 0.022 0.292
Au1 0.000 0.522 0.293
Ga1 0.000 0.025 0.793
```

- formation energy from the elements (meV per atom) = -313
- distance to the lowest polymorph of the same formula (kcal/mol of atoms) = 0.00
- space-group type = Pm, No. 6
- magnetic moment (μB/f.u.) = 5.98

=====

(8)
Entry from the Alexandria database: a relaxed structure of ZnCuNi2 (PBE-GGA).

Geometry as CIF:
```
data_ZnCuNi2
_chemical_formula_sum 'Zn1 Cu1 Ni2'
_cell_length_a 8.319
_cell_length_b 8.319
_cell_length_c 8.319
_cell_angle_alpha 17.79
_cell_angle_beta 17.79
_cell_angle_gamma 17.79
_space_group_name_H-M_alt 'P 1'
_space_group_IT_number 1
_space_group_name_Hall 'P 1'
loop_
_atom_site_label
_atom_site_fract_x
_atom_site_fract_y
_atom_site_fract_z
Ni1 0.000 0.000 0.000
Ni2 0.500 0.500 0.500
Cu1 0.250 0.250 0.250
Zn1 0.750 0.750 0.750
```

- formation energy from the elements (meV per atom) = -65
- space-group type = R-3m, No. 166
- magnetic moment (μB/f.u.) = 0.00

=====

Copy entry 4 word for word.
Entry from the Alexandria database: a relaxed structure of ZrRe2Ru (PBE-GGA).

Geometry as CIF:
```
data_ZrRe2Ru
_chemical_formula_sum 'Zr1 Re2 Ru1'
_cell_length_a 5.309
_cell_length_b 5.309
_cell_length_c 5.309
_cell_angle_alpha 145.69
_cell_angle_beta 128.25
_cell_angle_gamma 63.57
_space_group_name_H-M_alt 'P 1'
_space_group_IT_number 1
_space_group_name_Hall 'P 1'
loop_
_atom_site_label
_atom_site_fract_x
_atom_site_fract_y
_atom_site_fract_z
Re1 0.757 0.257 0.500
Re2 0.983 0.983 0.000
Ru1 0.513 0.513 0.000
Zr1 0.247 0.747 0.500
```

- formation energy from the elements (meV per atom) = 53
- distance to the lowest polymorph of the same formula (kcal/mol of atoms) = 1.88
- space-group type = Imm2, No. 44
- magnetic moment (μB/f.u.) = 0.00

=====

- Among the records above, which one has the highest magnetic moment?
  PuPaGaAu